A plane-wave DFT calculation with PBE was carried out for an optimized crystal structure of PtCN2.

Results
D(E_F) in states/eV/f.u.: 0.3
E_form (uncorrected) in eV/f.u.: 4.314
Total magnetization in μB/f.u.: 0.00
SG: I-42d

Cell lengths 4.4290, 4.4290, 4.7082 Å; angles 61.94, 61.94, 90.00 degrees
With the nearest neighbours (Å) after each atom.
Element x y z (fractional)
C: 0.5000 0.5000 0.0000  4 N 1.54
C: 0.2500 0.7500 0.5000  4 N 1.54
Pt: 0.0000 0.0000 0.0000  4 N 2.14
Pt: 0.7500 0.2500 0.5000  4 N 2.14
N: 0.5129 0.1250 0.2500  2 C 1.54
N: 0.2371 0.6250 0.2500  2 C 1.54
N: 0.3750 0.4871 0.7500  2 C 1.54
N: 0.8750 0.7629 0.7500  2 C 1.54